Entry 1:
Gd2CBr: optimized geometry, PBE.

Output
crystal system	hexagonal
energy	-6.01	eV/atom
symmetry	P6_3/mmc

Cell: 3.717 3.717 14.330 Å, 90.00 90.00 120.00°
Fractional positions:
Gd  0.333  0.667  0.091
Gd  0.333  0.667  0.409
Gd  0.667  0.333  0.591
Gd  0.667  0.333  0.909
C  0.000  0.000  0.000
C  0.000  0.000  0.500
Br  0.333  0.667  0.750
Br  0.667  0.333  0.250

Entry 2:
Hf3Zr2Sc: optimized geometry, PBE.

Output
crystal system	hexagonal
energy	-8.90	eV/atom
symmetry	P-62m

Cell: 5.566 5.566 5.095 Å, 90.00 90.00 120.00°
Fractional positions:
Hf  0.000  0.663  0.000
Hf  0.337  0.337  0.000
Hf  0.663  0.000  0.000
Zr  0.333  0.667  0.500
Zr  0.667  0.333  0.500
Sc  0.000  0.000  0.500

Entry 3:
BeGaCuOs: optimized geometry, PBE.

Output
crystal system	cubic
energy	-5.39	eV/atom
symmetry	F-43m

Cell: 4.113 4.113 4.113 Å, 60.00 60.00 60.00°
Fractional positions:
Be  0.000  0.000  0.000
Ga  0.500  0.500  0.500
Cu  0.750  0.750  0.750
Os  0.250  0.250  0.250

Entry 4:
BaZnNiS3: optimized geometry, PBE.

Output
crystal system	orthorhombic
energy	-4.38	eV/atom
symmetry	Cmcm

Cell: 6.879 6.879 9.768 Å, 90.00 90.00 146.64°
Fractional positions:
Ba  0.249  0.751  0.750
Ba  0.751  0.249  0.250
Zn  0.500  0.500  0.000
Zn  0.500  0.500  0.500
Ni  0.028  0.972  0.250
Ni  0.972  0.028  0.750
S  0.124  0.876  0.057
S  0.124  0.876  0.443
S  0.445  0.555  0.250
S  0.555  0.445  0.750
S  0.876  0.124  0.557
S  0.876  0.124  0.943

Entry 5:
Mg3Zn2W2: optimized geometry, PBE.

Output
crystal system	trigonal
energy	-4.48	eV/atom
symmetry	R3m

Cell: 7.876 7.876 7.876 Å, 32.89 32.89 32.89°
Fractional positions:
Mg  0.000  0.000  0.000
Mg  0.250  0.250  0.250
Mg  0.510  0.510  0.510
Zn  0.121  0.121  0.121
Zn  0.635  0.635  0.635
W  0.386  0.386  0.386
W  0.751  0.751  0.751

Entry 6:
RbTe2PbAuSe: optimized geometry, PBE.

Output
crystal system	orthorhombic
energy	-3.32	eV/atom
symmetry	Cmcm

Cell: 7.377 7.377 11.976 Å, 90.00 90.00 145.15°
Fractional positions:
Rb  0.215  0.785  0.750
Rb  0.785  0.215  0.250
Te  0.162  0.838  0.039
Te  0.162  0.838  0.461
Te  0.838  0.162  0.539
Te  0.838  0.162  0.961
Pb  0.500  0.500  0.000
Pb  0.500  0.500  0.500
Au  0.077  0.923  0.250
Au  0.923  0.077  0.750
Se  0.479  0.521  0.250
Se  0.521  0.479  0.750

Entry 7:
RbGdZnS3: optimized geometry, PBE.

Output
crystal system	monoclinic
energy	-4.69	eV/atom
symmetry	P2_1/m

Cell: 8.793 4.035 9.889 Å, 90.00 109.25 90.00°
Fractional positions:
Rb  0.231  0.250  0.259
Rb  0.769  0.750  0.741
Gd  0.323  0.750  0.863
Gd  0.677  0.250  0.137
Zn  0.081  0.250  0.609
Zn  0.919  0.750  0.391
S  0.101  0.250  0.847
S  0.197  0.750  0.547
S  0.468  0.750  0.150
S  0.532  0.250  0.850
S  0.803  0.250  0.453
S  0.899  0.750  0.153

Entry 8:
Hf4InGaP2: optimized geometry, PBE.

Output
crystal system	hexagonal
energy	-7.85	eV/atom
symmetry	P-6m2

Cell: 3.547 3.547 14.645 Å, 90.00 90.00 120.00°
Fractional positions:
Hf  0.000  0.000  0.139
Hf  0.000  0.000  0.861
Hf  0.667  0.333  0.341
Hf  0.667  0.333  0.659
In  0.000  0.000  0.500
Ga  0.667  0.333  0.000
P  0.333  0.667  0.241
P  0.333  0.667  0.759

Entry 9:
Sc2Ga2Pd: optimized geometry, PBE.

Output
crystal system	tetragonal
energy	-5.53	eV/atom
symmetry	P4/mbm

Cell: 6.724 6.724 4.053 Å, 90.00 90.00 90.00°
Fractional positions:
Sc  0.169  0.331  0.000
Sc  0.331  0.831  0.000
Sc  0.669  0.169  0.000
Sc  0.831  0.669  0.000
Ga  0.134  0.634  0.500
Ga  0.366  0.134  0.500
Ga  0.634  0.866  0.500
Ga  0.866  0.366  0.500
Pd  0.000  0.000  0.500
Pd  0.500  0.500  0.500

Entry 10:
AlZnCu2: optimized geometry, PBE.

Output
crystal system	cubic
energy	-3.19	eV/atom
symmetry	F-43m

Cell: 4.191 4.191 4.191 Å, 60.00 60.00 60.00°
Fractional positions:
Al  0.000  0.000  0.000
Zn  0.750  0.750  0.750
Cu  0.250  0.250  0.250
Cu  0.500  0.500  0.500

Entry 11:
NaMgPa: optimized geometry, PBE.

Output
crystal system	cubic
energy	-2.84	eV/atom
symmetry	F-43m

Cell: 5.160 5.160 5.160 Å, 60.00 60.00 60.00°
Fractional positions:
Na  0.000  0.000  0.000
Mg  0.250  0.250  0.250
Pa  0.500  0.500  0.500

Entry 12:
TmFeB: optimized geometry, PBE.

Output
crystal system	cubic
energy	-6.29	eV/atom
symmetry	F-43m

Cell: 3.984 3.984 3.984 Å, 60.00 60.00 60.00°
Fractional positions:
Tm  0.000  0.000  0.000
Fe  0.500  0.500  0.500
B  0.750  0.750  0.750

Entry 13:
CsPm2: optimized geometry, PBE.

Output
crystal system	cubic
energy	-2.79	eV/atom
symmetry	Fd-3m

Cell: 7.389 7.389 7.389 Å, 60.00 60.00 60.00°
Fractional positions:
Cs  0.125  0.125  0.125
Cs  0.875  0.875  0.875
Pm  0.000  0.500  0.500
Pm  0.500  0.000  0.500
Pm  0.500  0.500  0.000
Pm  0.500  0.500  0.500

Entry 14:
Ho2CoPd: optimized geometry, PBE.

Output
crystal system	monoclinic
energy	-5.91	eV/atom
symmetry	P2_1/m

Cell: 5.611 4.098 7.198 Å, 90.00 90.39 90.00°
Fractional positions:
Ho  0.136  0.250  0.167
Ho  0.364  0.250  0.694
Ho  0.636  0.750  0.306
Ho  0.864  0.750  0.833
Co  0.381  0.750  0.970
Co  0.619  0.250  0.030
Pd  0.155  0.750  0.455
Pd  0.845  0.250  0.545

Entry 15:
SmZn2: optimized geometry, PBE.

Output
crystal system	cubic
energy	-1.07	eV/atom
symmetry	Fd-3m

Cell: 9.780 9.780 9.780 Å, 60.00 60.00 60.00°
Fractional positions:
Sm  0.125  0.125  0.125
Sm  0.875  0.875  0.875
Zn  0.000  0.000  0.000
Zn  0.000  0.000  0.500
Zn  0.000  0.500  0.000
Zn  0.500  0.000  0.000

Entry 16:
TaN2: optimized geometry, PBE.

Output
crystal system	cubic
energy	-7.49	eV/atom
symmetry	Fd-3m

Cell: 4.377 4.377 4.377 Å, 60.00 60.00 60.00°
Fractional positions:
Ta  0.125  0.125  0.125
Ta  0.875  0.875  0.875
N  0.000  0.500  0.500
N  0.500  0.000  0.500
N  0.500  0.500  0.000
N  0.500  0.500  0.500

Entry 17:
TaZnAu: optimized geometry, PBE.

Output
crystal system	cubic
energy	-5.30	eV/atom
symmetry	F-43m

Cell: 4.327 4.327 4.327 Å, 60.00 60.00 60.00°
Fractional positions:
Ta  0.000  0.000  0.000
Zn  0.500  0.500  0.500
Au  0.250  0.250  0.250

Entry 18:
Al3Pd5: optimized geometry, PBE.

Output
crystal system	hexagonal
energy	-5.43	eV/atom
symmetry	P6_3/mcm

Cell: 7.251 7.251 5.263 Å, 90.00 90.00 120.00°
Fractional positions:
Al  0.000  0.397  0.250
Al  0.000  0.603  0.750
Al  0.397  0.000  0.250
Al  0.397  0.397  0.750
Al  0.603  0.000  0.750
Al  0.603  0.603  0.250
Pd  0.000  0.244  0.750
Pd  0.000  0.756  0.250
Pd  0.244  0.000  0.750
Pd  0.244  0.244  0.250
Pd  0.333  0.667  0.000
Pd  0.333  0.667  0.500
Pd  0.667  0.333  0.000
Pd  0.667  0.333  0.500
Pd  0.756  0.000  0.250
Pd  0.756  0.756  0.750

Entry 19:
LiSmMo: optimized geometry, PBE.

Output
crystal system	cubic
energy	-4.46	eV/atom
symmetry	F-43m

Cell: 4.726 4.726 4.726 Å, 60.00 60.00 60.00°
Fractional positions:
Li  0.000  0.000  0.000
Sm  0.250  0.250  0.250
Mo  0.500  0.500  0.500

Entry 20:
MgHgTeO: optimized geometry, PBE.

Output
crystal system	orthorhombic
energy	-3.58	eV/atom
symmetry	Pbca

Cell: 5.909 18.691 6.207 Å, 90.00 90.00 90.00°
Fractional positions:
Mg  0.169  0.246  0.124
Mg  0.169  0.254  0.624
Mg  0.331  0.746  0.124
Mg  0.331  0.754  0.624
Mg  0.669  0.246  0.376
Mg  0.669  0.254  0.876
Mg  0.831  0.746  0.376
Mg  0.831  0.754  0.876
Hg  0.249  0.087  0.793
Hg  0.249  0.413  0.293
Hg  0.251  0.587  0.793
Hg  0.251  0.913  0.293
Hg  0.749  0.087  0.707
Hg  0.749  0.413  0.207
Hg  0.751  0.587  0.707
Hg  0.751  0.913  0.207
Te  0.179  0.084  0.279
Te  0.179  0.416  0.779
Te  0.321  0.584  0.279
Te  0.321  0.916  0.779
Te  0.679  0.084  0.221
Te  0.679  0.416  0.721
Te  0.821  0.584  0.221
Te  0.821  0.916  0.721
O  0.150  0.732  0.871
O  0.150  0.768  0.371
O  0.350  0.232  0.871
O  0.350  0.268  0.371
O  0.650  0.732  0.629
O  0.650  0.768  0.129
O  0.850  0.232  0.629
O  0.850  0.268  0.129

Entry 21:
TaBr: optimized geometry, PBE.

Output
crystal system	hexagonal
energy	-6.09	eV/atom
symmetry	P-6m2

Cell: 3.137 3.137 4.438 Å, 90.00 90.00 120.00°
Fractional positions:
Ta  0.000  0.000  0.000
Br  0.333  0.667  0.500

Entry 22:
NpInBi: optimized geometry, PBE.

Output
crystal system	cubic
energy	-6.10	eV/atom
symmetry	F-43m

Cell: 5.183 5.183 5.183 Å, 60.00 60.00 60.00°
Fractional positions:
Np  0.000  0.000  0.000
In  0.750  0.750  0.750
Bi  0.500  0.500  0.500

Entry 23:
ZrCuTcGe: optimized geometry, PBE.

Output
crystal system	cubic
energy	-6.91	eV/atom
symmetry	F-43m

Cell: 4.468 4.468 4.468 Å, 60.00 60.00 60.00°
Fractional positions:
Zr  0.000  0.000  0.000
Cu  0.750  0.750  0.750
Tc  0.250  0.250  0.250
Ge  0.500  0.500  0.500

Entry 24:
Pu2ZnSi3: optimized geometry, PBE.

Output
crystal system	orthorhombic
energy	-8.10	eV/atom
symmetry	Fmmm

Cell: 8.160 8.102 5.704 Å, 70.01 68.92 41.06°
Fractional positions:
Pu  0.244  0.756  0.756
Pu  0.250  0.250  0.250
Pu  0.750  0.750  0.750
Pu  0.756  0.244  0.244
Zn  0.334  0.334  0.666
Zn  0.666  0.666  0.334
Si  0.166  0.166  0.834
Si  0.167  0.667  0.333
Si  0.333  0.833  0.167
Si  0.667  0.167  0.833
Si  0.833  0.333  0.667
Si  0.834  0.834  0.166

Entry 25:
ErTmGa2I2: optimized geometry, PBE.

Output
crystal system	trigonal
energy	-4.02	eV/atom
symmetry	P3m1

Cell: 4.166 4.166 12.056 Å, 90.00 90.00 120.00°
Fractional positions:
Er  0.000  0.000  0.000
Tm  0.000  0.000  0.670
Ga  0.333  0.667  0.863
Ga  0.667  0.333  0.807
I  0.333  0.667  0.506
I  0.667  0.333  0.164